[1]
# La3SbI3 | Alexandria via LeMat-Bulk | meta-GGA SCAN | PBEsol geometry
data_La3SbI3
_space_group_name_H-M_alt 'I 41 3 2'
_space_group_IT_number 214
_space_group_name_Hall 'I 4bd 2c 3'
_cell_length_a 12.691
_cell_length_b 12.691
_cell_length_c 12.691
_cell_angle_alpha 90.00
_cell_angle_beta 90.00
_cell_angle_gamma 90.00
loop_
_atom_site_label
_atom_site_fract_x
_atom_site_fract_y
_atom_site_fract_z
_atom_site_occupancy
La1 0.118 0.368 0.125 1
Sb1 0.125 0.125 0.125 1
I1 0.116 0.134 0.625 1
# Density of states at the Fermi level in states/eV per atom: 0.4639
# Formation energy (no corrections) in eV/atom: -1.472

***

[2]
# La2Sb2I | Alexandria via LeMat-Bulk | meta-GGA SCAN | PBEsol geometry
data_La2Sb2I
_space_group_name_H-M_alt 'I 4/m m m'
_space_group_IT_number 139
_space_group_name_Hall '-I 4 2'
_cell_length_a 5.908
_cell_length_b 5.908
_cell_length_c 10.179
_cell_angle_alpha 90.00
_cell_angle_beta 90.00
_cell_angle_gamma 90.00
loop_
_atom_site_label
_atom_site_fract_x
_atom_site_fract_y
_atom_site_fract_z
_atom_site_occupancy
La1 0.000 0.500 0.250 1
Sb1 0.000 0.000 0.138 1
I1 0.000 0.000 0.500 1
# Density of states at the Fermi level in states/eV per atom: 0.5809
# Formation energy (no corrections) in eV/atom: -1.008

***

[3]
# LaSn2SbI | Alexandria via LeMat-Bulk | meta-GGA SCAN | PBEsol geometry
data_LaSn2SbI
_space_group_name_H-M_alt 'P 4/m m m'
_space_group_IT_number 123
_space_group_name_Hall '-P 4 2'
_cell_length_a 6.066
_cell_length_b 6.066
_cell_length_c 5.791
_cell_angle_alpha 90.00
_cell_angle_beta 90.00
_cell_angle_gamma 90.00
loop_
_atom_site_label
_atom_site_fract_x
_atom_site_fract_y
_atom_site_fract_z
_atom_site_occupancy
La1 0.000 0.000 0.000 1
Sn1 0.000 0.500 0.000 1
Sb1 0.500 0.500 0.500 1
I1 0.000 0.000 0.500 1
# Density of states at the Fermi level in states/eV per atom: 0.9899
# Formation energy (no corrections) in eV/atom: 0.500

***

[4]
# SrLaSb2I | Alexandria via LeMat-Bulk | meta-GGA SCAN | PBEsol geometry
data_SrLaSb2I
_space_group_name_H-M_alt 'P 4/m m m'
_space_group_IT_number 123
_space_group_name_Hall '-P 4 2'
_cell_length_a 5.801
_cell_length_b 5.801
_cell_length_c 5.829
_cell_angle_alpha 90.00
_cell_angle_beta 90.00
_cell_angle_gamma 90.00
loop_
_atom_site_label
_atom_site_fract_x
_atom_site_fract_y
_atom_site_fract_z
_atom_site_occupancy
Sr1 0.000 0.000 0.000 1
La1 0.500 0.500 0.500 1
Sb1 0.000 0.500 0.000 1
I1 0.000 0.000 0.500 1
# Density of states at the Fermi level in states/eV per atom: 0.4233
# Formation energy (no corrections) in eV/atom: -0.201

***

[5]
# LaTcSb2I | Alexandria via LeMat-Bulk | meta-GGA SCAN | PBEsol geometry
data_LaTcSb2I
_space_group_name_H-M_alt 'P 4/m m m'
_space_group_IT_number 123
_space_group_name_Hall '-P 4 2'
_cell_length_a 5.979
_cell_length_b 5.979
_cell_length_c 5.935
_cell_angle_alpha 90.00
_cell_angle_beta 90.00
_cell_angle_gamma 90.00
loop_
_atom_site_label
_atom_site_fract_x
_atom_site_fract_y
_atom_site_fract_z
_atom_site_occupancy
La1 0.000 0.000 0.000 1
Tc1 0.500 0.500 0.500 1
Sb1 0.000 0.500 0.000 1
I1 0.000 0.000 0.500 1
# Density of states at the Fermi level in states/eV per atom: 0.8452
# Formation energy (no corrections) in eV/atom: 0.955

***

[6]
# LaTcSbI2 | Alexandria via LeMat-Bulk | meta-GGA SCAN | PBEsol geometry
data_LaTcSbI2
_space_group_name_H-M_alt 'P 4/m m m'
_space_group_IT_number 123
_space_group_name_Hall '-P 4 2'
_cell_length_a 6.009
_cell_length_b 6.009
_cell_length_c 6.254
_cell_angle_alpha 90.00
_cell_angle_beta 90.00
_cell_angle_gamma 90.00
loop_
_atom_site_label
_atom_site_fract_x
_atom_site_fract_y
_atom_site_fract_z
_atom_site_occupancy
La1 0.000 0.000 0.000 1
Tc1 0.500 0.500 0.500 1
Sb1 0.000 0.000 0.500 1
I1 0.000 0.500 0.000 1
# Density of states at the Fermi level in states/eV per atom: 0.4476
# Formation energy (no corrections) in eV/atom: 0.439

***

[7]
# LaSc2I | Alexandria via LeMat-Bulk | meta-GGA SCAN | PBEsol geometry
data_LaSc2I
_space_group_name_H-M_alt 'R -3 m'
_space_group_IT_number 166
_space_group_name_Hall '-R 3 2"'
_cell_length_a 3.4382
_cell_length_b 3.4382
_cell_length_c 32.3283
_cell_angle_alpha 90.00
_cell_angle_beta 90.00
_cell_angle_gamma 120.00
loop_
_atom_site_label
_atom_site_fract_x
_atom_site_fract_y
_atom_site_fract_z
_atom_site_occupancy
La1 0.0000 0.0000 0.0000 1
Sc1 0.0000 0.0000 0.0967 1
I1 0.0000 0.0000 0.5000 1
# Density of states at the Fermi level in states/eV per atom: 1.3236
# Formation energy (no corrections) in eV/atom: 0.032

***

[8]
# La2SeI | Alexandria via LeMat-Bulk | meta-GGA SCAN | PBEsol geometry
data_La2SeI
_space_group_name_H-M_alt 'I -4 2 d'
_space_group_IT_number 122
_space_group_name_Hall 'I -4 2bw'
_cell_length_a 6.942
_cell_length_b 6.942
_cell_length_c 13.730
_cell_angle_alpha 90.00
_cell_angle_beta 90.00
_cell_angle_gamma 90.00
loop_
_atom_site_label
_atom_site_fract_x
_atom_site_fract_y
_atom_site_fract_z
_atom_site_occupancy
La1 0.214 0.250 0.125 1
Se1 0.000 0.000 0.000 1
I1 0.000 0.000 0.500 1
# Density of states at the Fermi level in states/eV per atom: 0.8026
# Formation energy (no corrections) in eV/atom: -1.129